The following is a PBE calculation of a relaxed TmSbN2O crystal, from OQMD.

Cell lengths 7.9766, 7.7696, 11.0630 Å; angles 90.00, 133.71, 90.00 degrees
Last column: nearest neighbours and their distance in Å.
Space group P2_1/c (No. 14)
Unique sites:
1 Tm 0.0598 0.2476 0.0341 [4 per cell]  4 N 2.26-2.48, 1 O 2.33
2 Tm 0.4379 0.7368 0.4762 [4 per cell]  2 O 2.26-2.50, 3 N 2.27-2.33
3 Sb 0.0224 0.0058 0.2645 [4 per cell]  4 N 2.03-2.09, 2 O 2.19-2.21
4 Sb 0.4964 0.5056 0.2384 [4 per cell]  4 N 2.05-2.09, 2 O 2.17-2.18
5 N 0.0552 0.7445 0.7182 [4 per cell]  2 Sb 2.07-2.09, 1 Tm 2.26
6 N 0.1882 0.5644 0.0030 [4 per cell]  2 Sb 2.05, 1 Tm 2.26
7 N 0.2969 0.0819 0.2993 [4 per cell]  2 Sb 2.03-2.05
8 N 0.4475 0.2481 0.6630 [4 per cell]  2 Sb 2.07-2.09, 1 Tm 2.27
9 O 0.1974 0.5560 0.5028 [4 per cell]  2 Sb 2.17-2.19, 1 Tm 2.33
10 O 0.3186 0.0402 0.8208 [4 per cell]  2 Sb 2.18-2.21, 1 Tm 2.26

Results
Total DFT energy (no corrections) = -7.044 eV per atom
Size of the total moment = 0.0 μB per cell